1.
Density functional theory data (PBE) for an optimized crystal structure of In4Hg2Au.

Unit cell a=4.698 b=4.698 c=10.060 alpha=90.00 beta=90.00 gamma=120.00
Element x y z (fractional)
In (0.667, 0.333, 0.075)
In (0.333, 0.667, 0.925)
In (0.333, 0.667, 0.603)
Hg (0.000, 0.000, 0.206)
In (0.667, 0.333, 0.397)
Au (0.000, 0.000, 0.500)
Hg (0.000, 0.000, 0.794)

Output
Its energy of formation from the pure elements is -0.044 eV/atom. The energy above the lowest structure with this stoichiometry comes out at 0 meV per atom.

***

2.
Density functional theory data (PBE) for an optimized crystal structure of U2Al2S7.

Unit cell a=6.268 b=6.854 c=6.854 alpha=102.19 beta=97.08 gamma=97.08
Element x y z (fractional)
S (0.227, 0.079, 0.435)
S (0.500, 0.000, 0.000)
U (0.000, 0.697, 0.303)
Al (0.587, 0.768, 0.768)
S (0.227, 0.435, 0.079)
S (0.743, 0.403, 0.403)
S (0.773, 0.921, 0.565)
S (0.773, 0.565, 0.921)
Al (0.413, 0.232, 0.232)
S (0.257, 0.597, 0.597)
U (0.000, 0.303, 0.697)

Output
The formation energy (no corrections) is -1.069 eV/atom.